An optimized crystal structure of Re24Tc5, computed with GGA-PBEsol.

```
29
Lattice="-4.757 4.757 4.757 4.757 -4.757 4.757 4.757 4.757 -4.757" Properties=species:S:1:pos:R:3 pbc="T T T"
Re 2.695 0.863 -0.863
Re 2.695 -0.863 0.863
Re 5.166 1.349 -1.349
Re 5.166 -1.349 1.349
Re 6.818 0.863 0.863
Re 0.863 2.695 -0.863
Re 0.863 -0.863 2.695
Re 4.347 1.349 1.349
Re 3.408 3.408 -0.410
Re 3.408 -0.410 3.408
Re -0.863 2.695 0.863
Re -0.863 0.863 2.695
Re 1.349 5.166 -1.349
Re 1.349 -1.349 5.166
Re 1.349 4.347 1.349
Re 1.349 1.349 4.347
Re 3.894 3.894 2.062
Re 3.894 2.062 3.894
Re -1.349 5.166 1.349
Re -1.349 1.349 5.166
Re -0.410 3.408 3.408
Re 0.863 6.818 0.863
Re 0.863 0.863 6.818
Re 2.062 3.894 3.894
Tc 0.000 0.000 0.000
Tc 3.072 3.072 -3.072
Tc 3.072 -3.072 3.072
Tc 1.685 1.685 1.685
Tc -3.072 3.072 3.072
```

Results
M_tot: 0.001 Bohr magnetons per cell
Electronic total energy: -0.4747 hartree per atom
Calculated volume: 430.5 Å³/f.u.
Crystal system: cubic
Space group: I-43m (217)
Density of states at the Fermi level: 26.56 states/eV/f.u.
Formation energy: 0.058 eV per atom